# 1
ScIn2W: optimized geometry, PBE.

Lattice parameters (Å, degrees): 3.6479 4.7140 9.4364 90.00 90.00 90.00
Positions (direct):
Sc 0.0000 0.0000 0.0000
Sc 0.5000 0.5000 0.0000
In 0.0000 0.5000 0.2620
In 0.0000 0.5000 0.7380
In 0.5000 0.0000 0.2620
In 0.5000 0.0000 0.7380
W 0.0000 0.0000 0.5000
W 0.5000 0.5000 0.5000

Magnetic moment (μB per formula unit): 0.0
Formation energy from the elements (eV per atom): 0.25
Polymorph energy (0 for the lowest one) (meV/atom): 129

***

# 2
ScIn2W2: optimized geometry, PBE.

Lattice parameters (Å, degrees): 3.8562 3.8562 13.7590 90.00 90.00 90.00
Positions (direct):
Sc 0.0000 0.0000 0.0000
Sc 0.5000 0.5000 0.5000
In 0.0000 0.0000 0.4007
In 0.0000 0.0000 0.5993
In 0.5000 0.5000 0.0993
In 0.5000 0.5000 0.9007
W 0.0000 0.5000 0.2500
W 0.0000 0.5000 0.7500
W 0.5000 0.0000 0.2500
W 0.5000 0.0000 0.7500

Magnetic moment (μB per formula unit): 0.0
Formation energy from the elements (eV per atom): 0.34